[1]
# DyTlCd6 PBE optimized geometry
# Formation enthalpy at 0 K ... -114 meV per atom
# M_tot ... 0.00 μB per formula unit
# D(E_F) ... 0.43 states/eV per atom
# Crystal system ... orthorhombic
# Uncorrected energy ... -13.37 eV/cell
data_DyTlCd6
_space_group_name_H-M_alt 'P 1'
_space_group_IT_number 1
_space_group_name_Hall 'P 1'
_cell_length_a 4.843
_cell_length_b 6.428
_cell_length_c 6.428
_cell_angle_alpha 105.80
_cell_angle_beta 90.00
_cell_angle_gamma 90.00
loop_
_atom_site_label
_atom_site_type_symbol
_atom_site_fract_x
_atom_site_fract_y
_atom_site_fract_z
Cd1 Cd 0.500 0.855 0.561
Cd2 Cd 0.000 0.046 0.348
Cd3 Cd 0.000 0.567 0.433
Cd4 Cd 0.500 0.939 0.061
Cd5 Cd 0.500 0.439 0.145
Cd6 Cd 0.000 0.652 0.954
Tl1 Tl 0.500 0.365 0.635
Dy1 Dy 0.000 0.137 0.863

---

[2]
# DyTlCd2 PBE optimized geometry
# Formation enthalpy at 0 K ... -127 meV per atom
# M_tot ... 0.00 μB per formula unit
# D(E_F) ... 0.48 states/eV per atom
# Crystal system ... cubic
# Uncorrected energy ... -9.31 eV/cell
data_DyTlCd2
_space_group_name_H-M_alt 'P 1'
_space_group_IT_number 1
_space_group_name_Hall 'P 1'
_cell_length_a 5.220
_cell_length_b 5.220
_cell_length_c 5.220
_cell_angle_alpha 60.00
_cell_angle_beta 60.00
_cell_angle_gamma 60.00
loop_
_atom_site_label
_atom_site_type_symbol
_atom_site_fract_x
_atom_site_fract_y
_atom_site_fract_z
Dy1 Dy 0.000 0.000 0.000
Cd1 Cd 0.250 0.250 0.250
Cd2 Cd 0.750 0.750 0.750
Tl1 Tl 0.500 0.500 0.500

---

[3]
# DyTl2Cd PBE optimized geometry
# Formation enthalpy at 0 K ... -118 meV per atom
# M_tot ... 0.00 μB per formula unit
# D(E_F) ... 0.74 states/eV per atom
# Crystal system ... cubic
# Uncorrected energy ... -10.72 eV/cell
data_DyTl2Cd
_space_group_name_H-M_alt 'P 1'
_space_group_IT_number 1
_space_group_name_Hall 'P 1'
_cell_length_a 5.299
_cell_length_b 5.299
_cell_length_c 5.299
_cell_angle_alpha 60.00
_cell_angle_beta 60.00
_cell_angle_gamma 60.00
loop_
_atom_site_label
_atom_site_type_symbol
_atom_site_fract_x
_atom_site_fract_y
_atom_site_fract_z
Tl1 Tl 0.250 0.250 0.250
Tl2 Tl 0.750 0.750 0.750
Cd1 Cd 0.500 0.500 0.500
Dy1 Dy 0.000 0.000 0.000

---

[4]
# Dy4Tl3Cd PBE optimized geometry
# Formation enthalpy at 0 K ... -339 meV per atom
# M_tot ... 0.00 μB per formula unit
# D(E_F) ... 1.04 states/eV per atom
# Crystal system ... monoclinic
# Uncorrected energy ... -29.14 eV/cell
data_Dy4Tl3Cd
_space_group_name_H-M_alt 'P 1'
_space_group_IT_number 1
_space_group_name_Hall 'P 1'
_cell_length_a 5.338
_cell_length_b 5.338
_cell_length_c 8.470
_cell_angle_alpha 108.48
_cell_angle_beta 108.49
_cell_angle_gamma 89.88
loop_
_atom_site_label
_atom_site_type_symbol
_atom_site_fract_x
_atom_site_fract_y
_atom_site_fract_z
Dy1 Dy 0.876 0.876 0.752
Dy2 Dy 0.376 0.376 0.752
Dy3 Dy 0.624 0.624 0.248
Dy4 Dy 0.124 0.124 0.248
Tl1 Tl 0.000 0.500 0.000
Tl2 Tl 0.253 0.753 0.506
Tl3 Tl 0.747 0.247 0.494
Cd1 Cd 0.500 0.000 0.000

---

[5]
# DyTlCd17 PBE optimized geometry
# Formation enthalpy at 0 K ... -37 meV per atom
# M_tot ... 0.00 μB per formula unit
# D(E_F) ... 0.32 states/eV per atom
# Crystal system ... trigonal
# Uncorrected energy ... -23.22 eV/cell
data_DyTlCd17
_space_group_name_H-M_alt 'P 1'
_space_group_IT_number 1
_space_group_name_Hall 'P 1'
_cell_length_a 7.736
_cell_length_b 7.736
_cell_length_c 7.736
_cell_angle_alpha 82.13
_cell_angle_beta 82.13
_cell_angle_gamma 82.13
loop_
_atom_site_label
_atom_site_type_symbol
_atom_site_fract_x
_atom_site_fract_y
_atom_site_fract_z
Cd1 Cd 0.697 0.002 0.302
Cd2 Cd 0.522 0.983 0.983
Cd3 Cd 0.206 0.621 0.621
Cd4 Cd 0.697 0.302 0.002
Cd5 Cd 0.002 0.302 0.697
Cd6 Cd 0.621 0.206 0.621
Cd7 Cd 0.879 0.345 0.345
Cd8 Cd 0.909 0.909 0.909
Cd9 Cd 0.621 0.621 0.206
Cd10 Cd 0.002 0.697 0.302
Cd11 Cd 0.983 0.522 0.983
Cd12 Cd 0.983 0.983 0.522
Cd13 Cd 0.345 0.345 0.879
Cd14 Cd 0.302 0.002 0.697
Cd15 Cd 0.345 0.879 0.345
Cd16 Cd 0.105 0.105 0.105
Cd17 Cd 0.302 0.697 0.002
Tl1 Tl 0.652 0.652 0.652
Dy1 Dy 0.328 0.328 0.328

---

[6]
# Dy3Tl3Cd2 PBE optimized geometry
# Formation enthalpy at 0 K ... -246 meV per atom
# M_tot ... 0.00 μB per formula unit
# D(E_F) ... 0.69 states/eV per atom
# Crystal system ... hexagonal
# Uncorrected energy ... -24.71 eV/cell
data_Dy3Tl3Cd2
_space_group_name_H-M_alt 'P 1'
_space_group_IT_number 1
_space_group_name_Hall 'P 1'
_cell_length_a 3.611
_cell_length_b 8.313
_cell_length_c 8.313
_cell_angle_alpha 120.00
_cell_angle_beta 90.00
_cell_angle_gamma 90.00
loop_
_atom_site_label
_atom_site_type_symbol
_atom_site_fract_x
_atom_site_fract_y
_atom_site_fract_z
Cd1 Cd 0.000 0.333 0.667
Cd2 Cd 0.000 0.667 0.333
Tl1 Tl 0.000 0.254 0.000
Tl2 Tl 0.000 0.746 0.746
Tl3 Tl 0.000 0.000 0.254
Dy1 Dy 0.500 0.629 0.000
Dy2 Dy 0.500 0.000 0.629
Dy3 Dy 0.500 0.371 0.371

---

[7]
# Dy2TlCd PBE optimized geometry
# Formation enthalpy at 0 K ... -337 meV per atom
# M_tot ... 0.00 μB per formula unit
# D(E_F) ... 1.04 states/eV per atom
# Crystal system ... tetragonal
# Uncorrected energy ... -13.83 eV/cell
data_Dy2TlCd
_space_group_name_H-M_alt 'P 1'
_space_group_IT_number 1
_space_group_name_Hall 'P 1'
_cell_length_a 3.779
_cell_length_b 3.779
_cell_length_c 7.490
_cell_angle_alpha 90.00
_cell_angle_beta 90.00
_cell_angle_gamma 90.00
loop_
_atom_site_label
_atom_site_type_symbol
_atom_site_fract_x
_atom_site_fract_y
_atom_site_fract_z
Dy1 Dy 0.000 0.000 0.244
Dy2 Dy 0.000 0.000 0.756
Tl1 Tl 0.500 0.500 0.500
Cd1 Cd 0.500 0.500 0.000

---

[8]
# Dy3Tl2Cd3 PBE optimized geometry
# Formation enthalpy at 0 K ... -243 meV per atom
# M_tot ... 0.00 μB per formula unit
# D(E_F) ... 0.74 states/eV per atom
# Crystal system ... hexagonal
# Uncorrected energy ... -23.23 eV/cell
data_Dy3Tl2Cd3
_space_group_name_H-M_alt 'P 1'
_space_group_IT_number 1
_space_group_name_Hall 'P 1'
_cell_length_a 4.313
_cell_length_b 7.563
_cell_length_c 7.563
_cell_angle_alpha 120.00
_cell_angle_beta 90.00
_cell_angle_gamma 90.00
loop_
_atom_site_label
_atom_site_type_symbol
_atom_site_fract_x
_atom_site_fract_y
_atom_site_fract_z
Cd1 Cd 0.000 0.227 0.000
Cd2 Cd 0.000 0.000 0.227
Cd3 Cd 0.000 0.773 0.773
Dy1 Dy 0.500 0.602 0.000
Dy2 Dy 0.500 0.000 0.602
Dy3 Dy 0.500 0.398 0.398
Tl1 Tl 0.000 0.333 0.667
Tl2 Tl 0.000 0.667 0.333

---

[9]
# DyTlCd2 PBE optimized geometry
# Formation enthalpy at 0 K ... -252 meV per atom
# M_tot ... 0.00 μB per formula unit
# D(E_F) ... 0.73 states/eV per atom
# Crystal system ... tetragonal
# Uncorrected energy ... -9.81 eV/cell
data_DyTlCd2
_space_group_name_H-M_alt 'P 1'
_space_group_IT_number 1
_space_group_name_Hall 'P 1'
_cell_length_a 4.880
_cell_length_b 4.515
_cell_length_c 4.515
_cell_angle_alpha 90.00
_cell_angle_beta 90.00
_cell_angle_gamma 90.00
loop_
_atom_site_label
_atom_site_type_symbol
_atom_site_fract_x
_atom_site_fract_y
_atom_site_fract_z
Tl1 Tl 0.500 0.500 0.500
Cd1 Cd 0.000 0.000 0.500
Cd2 Cd 0.000 0.500 0.000
Dy1 Dy 0.500 0.000 0.000

---

[10]
# Dy2TlCd16 PBE optimized geometry
# Formation enthalpy at 0 K ... -83 meV per atom
# M_tot ... 0.00 μB per formula unit
# D(E_F) ... 0.28 states/eV per atom
# Crystal system ... trigonal
# Uncorrected energy ... -27.79 eV/cell
data_Dy2TlCd16
_space_group_name_H-M_alt 'P 1'
_space_group_IT_number 1
_space_group_name_Hall 'P 1'
_cell_length_a 7.685
_cell_length_b 7.685
_cell_length_c 7.685
_cell_angle_alpha 83.07
_cell_angle_beta 83.07
_cell_angle_gamma 83.07
loop_
_atom_site_label
_atom_site_type_symbol
_atom_site_fract_x
_atom_site_fract_y
_atom_site_fract_z
Tl1 Tl 0.900 0.900 0.900
Cd1 Cd 0.689 0.315 0.996
Cd2 Cd 0.026 0.470 0.026
Cd3 Cd 0.779 0.375 0.375
Cd4 Cd 0.096 0.096 0.096
Cd5 Cd 0.315 0.689 0.996
Cd6 Cd 0.996 0.315 0.689
Cd7 Cd 0.315 0.996 0.689
Cd8 Cd 0.996 0.689 0.315
Cd9 Cd 0.689 0.996 0.315
Cd10 Cd 0.470 0.026 0.026
Cd11 Cd 0.130 0.658 0.658
Cd12 Cd 0.375 0.779 0.375
Cd13 Cd 0.026 0.026 0.470
Cd14 Cd 0.375 0.375 0.779
Cd15 Cd 0.658 0.658 0.130
Cd16 Cd 0.658 0.130 0.658
Dy1 Dy 0.675 0.675 0.675
Dy2 Dy 0.331 0.331 0.331

---

The lowest uncorrected energy belongs to which entry?
Dy4Tl3Cd